# 1
# ErAlI (PBE, relaxed)
# Fermi-level density of states in states/eV/atom: 0.19
# E in eV per atom: -4.1377
# Uncorrected formation energy in eV/atom: -0.85
# V in A^3/atom: 31.9
data_ErAlI
_space_group_name_H-M_alt 'C 1 2/m 1'
_space_group_IT_number 12
_cell_length_a 7.378
_cell_length_b 4.259
_cell_length_c 12.451
_cell_angle_alpha 90.00
_cell_angle_beta 102.02
_cell_angle_gamma 90.00
loop_
_space_group_symop_operation_xyz
'x,y,z'
'-x,-y,-z'
'-x,y,-z'
'x,-y,z'
'x+1/2,y+1/2,z'
'-x+1/2,-y+1/2,-z'
'-x+1/2,y+1/2,-z'
'x+1/2,-y+1/2,z'
loop_
_atom_site_label
_atom_site_type_symbol
_atom_site_fract_x
_atom_site_fract_y
_atom_site_fract_z
_atom_site_occupancy
Er1 Er 0.058 0.000 0.165 1
Al1 Al 0.161 0.500 0.983 1
I1 I 0.219 0.000 0.675 1



# 2
# MoP2 (PBE, relaxed)
# Fermi-level density of states in states/eV/atom: 0.65
# E in eV per atom: -7.3620
# V in A^3/atom: 13.6
data_MoP2
_space_group_name_H-M_alt 'C m c m'
_space_group_IT_number 63
_space_group_name_Hall '-C 2c 2'
_cell_length_a 3.141
_cell_length_b 11.734
_cell_length_c 4.419
_cell_angle_alpha 90.00
_cell_angle_beta 90.00
_cell_angle_gamma 90.00
loop_
_atom_site_label
_atom_site_type_symbol
_atom_site_fract_x
_atom_site_fract_y
_atom_site_fract_z
_atom_site_occupancy
Mo1 Mo 0.000 0.102 0.250 1
P1 P 0.000 0.226 0.750 1
P2 P 0.000 0.433 0.250 1



# 3
# Pr2CdHg2Pd5 (PBE, relaxed)
# Fermi-level density of states in states/eV/atom: 0.44
# E in eV per atom: -4.1457
# V in A^3/atom: 21.0
data_Pr2CdHg2Pd5
_space_group_name_H-M_alt 'P 4/m b m'
_space_group_IT_number 127
_space_group_name_Hall '-P 4 2ab'
_cell_length_a 10.289
_cell_length_b 10.289
_cell_length_c 3.976
_cell_angle_alpha 90.00
_cell_angle_beta 90.00
_cell_angle_gamma 90.00
loop_
_atom_site_label
_atom_site_type_symbol
_atom_site_fract_x
_atom_site_fract_y
_atom_site_fract_z
_atom_site_occupancy
Pr1 Pr 0.171 0.329 0.000 1
Cd1 Cd 0.000 0.000 0.000 1
Hg1 Hg 0.128 0.628 0.000 1
Pd1 Pd 0.000 0.500 0.500 1
Pd2 Pd 0.044 0.801 0.500 1



# 4
# KBa3Ir (PBE, relaxed)
# Fermi-level density of states in states/eV/atom: 0.81
# E in eV per atom: -3.2069
# V in A^3/atom: 53.0
data_KBa3Ir
_space_group_name_H-M_alt 'P -1'
_space_group_IT_number 2
_cell_length_a 6.821
_cell_length_b 7.384
_cell_length_c 11.695
_cell_angle_alpha 86.66
_cell_angle_beta 80.70
_cell_angle_gamma 65.86
loop_
_space_group_symop_operation_xyz
'x,y,z'
'-x,-y,-z'
loop_
_atom_site_label
_atom_site_type_symbol
_atom_site_fract_x
_atom_site_fract_y
_atom_site_fract_z
_atom_site_occupancy
K1 K 0.146 0.190 0.033 1
Ba1 Ba 0.022 0.702 0.593 1
Ba2 Ba 0.356 0.042 0.660 1
Ba3 Ba 0.399 0.572 0.254 1
Ir1 Ir 0.439 0.360 0.483 1



# 5
# YZrCl (PBE, relaxed)
# Fermi-level density of states in states/eV/atom: 0.46
# E in eV per atom: -5.6827
# Uncorrected formation energy in eV/atom: -0.06
# V in A^3/atom: 23.2
data_YZrCl
_space_group_name_H-M_alt 'F -4 3 m'
_space_group_IT_number 216
_space_group_name_Hall 'F -4 2 3'
_cell_length_a 6.529
_cell_length_b 6.529
_cell_length_c 6.529
_cell_angle_alpha 90.00
_cell_angle_beta 90.00
_cell_angle_gamma 90.00
loop_
_atom_site_label
_atom_site_type_symbol
_atom_site_fract_x
_atom_site_fract_y
_atom_site_fract_z
_atom_site_occupancy
Y1 Y 0.000 0.000 0.000 1
Zr1 Zr 0.000 0.000 0.500 1
Cl1 Cl 0.250 0.250 0.750 1



# 6
# LaC3Cl (PBE, relaxed)
# Fermi-level density of states in states/eV/atom: 0.72
# E in eV per atom: -4.6406
# Uncorrected formation energy in eV/atom: 2.25
# V in A^3/atom: 13.6
data_LaC3Cl
_space_group_name_H-M_alt 'P m -3 m'
_space_group_IT_number 221
_space_group_name_Hall '-P 4 2 3'
_cell_length_a 4.086
_cell_length_b 4.086
_cell_length_c 4.086
_cell_angle_alpha 90.00
_cell_angle_beta 90.00
_cell_angle_gamma 90.00
loop_
_atom_site_label
_atom_site_type_symbol
_atom_site_fract_x
_atom_site_fract_y
_atom_site_fract_z
_atom_site_occupancy
La1 La 0.000 0.000 0.000 1
C1 C 0.000 0.500 0.500 1
Cl1 Cl 0.500 0.500 0.500 1



# 7
# Ca2AsPtPb (PBE, relaxed)
# Fermi-level density of states in states/eV/atom: 0.53
# E in eV per atom: -3.7583
# V in A^3/atom: 31.8
data_Ca2AsPtPb
_space_group_name_H-M_alt 'P 4/m m m'
_space_group_IT_number 123
_space_group_name_Hall '-P 4 2'
_cell_length_a 5.420
_cell_length_b 5.420
_cell_length_c 5.416
_cell_angle_alpha 90.00
_cell_angle_beta 90.00
_cell_angle_gamma 90.00
loop_
_atom_site_label
_atom_site_type_symbol
_atom_site_fract_x
_atom_site_fract_y
_atom_site_fract_z
_atom_site_occupancy
Ca1 Ca 0.000 0.500 0.000 1
As1 As 0.000 0.000 0.000 1
Pt1 Pt 0.500 0.500 0.500 1
Pb1 Pb 0.000 0.000 0.500 1



# 8
# Ce2Y3PuN6 (PBE, relaxed)
# Fermi-level density of states in states/eV/atom: 0.97
# E in eV per atom: -9.5020
# Uncorrected formation energy in eV/atom: -1.54
# V in A^3/atom: 15.3
data_Ce2Y3PuN6
_space_group_name_H-M_alt 'C 1 2/m 1'
_space_group_IT_number 12
_cell_length_a 6.078
_cell_length_b 10.527
_cell_length_c 6.088
_cell_angle_alpha 90.00
_cell_angle_beta 109.48
_cell_angle_gamma 90.00
loop_
_space_group_symop_operation_xyz
'x,y,z'
'-x,-y,-z'
'-x,y,-z'
'x,-y,z'
'x+1/2,y+1/2,z'
'-x+1/2,-y+1/2,-z'
'-x+1/2,y+1/2,-z'
'x+1/2,-y+1/2,z'
loop_
_atom_site_label
_atom_site_type_symbol
_atom_site_fract_x
_atom_site_fract_y
_atom_site_fract_z
_atom_site_occupancy
Ce1 Ce 0.000 0.167 0.000 1
Y1 Y 0.000 0.000 0.500 1
Y2 Y 0.000 0.333 0.500 1
Pu1 Pu 0.000 0.500 0.000 1
N1 N 0.247 0.335 0.249 1
N2 N 0.247 0.500 0.751 1



# 9
# Ni3IrRh8 (PBE, relaxed)
# Fermi-level density of states in states/eV/atom: 1.84
# E in eV per atom: -6.5960
# V in A^3/atom: 15.7
data_Ni3IrRh8
_space_group_name_H-M_alt 'I 4/m m m'
_space_group_IT_number 139
_space_group_name_Hall '-I 4 2'
_cell_length_a 5.352
_cell_length_b 5.352
_cell_length_c 13.130
_cell_angle_alpha 90.00
_cell_angle_beta 90.00
_cell_angle_gamma 90.00
loop_
_atom_site_label
_atom_site_type_symbol
_atom_site_fract_x
_atom_site_fract_y
_atom_site_fract_z
_atom_site_occupancy
Ni1 Ni 0.000 0.000 0.000 1
Ni2 Ni 0.000 0.500 0.250 1
Ir1 Ir 0.000 0.000 0.500 1
Rh1 Rh 0.246 0.246 0.129 1



# 10
# RbGaOF2 (PBE, relaxed)
# Fermi-level density of states in states/eV/atom: 1.73
# E in eV per atom: -3.1279
# Uncorrected formation energy in eV/atom: -0.59
# V in A^3/atom: 23.0
data_RbGaOF2
_space_group_name_H-M_alt 'P 4/m m m'
_space_group_IT_number 123
_space_group_name_Hall '-P 4 2'
_cell_length_a 5.041
_cell_length_b 5.041
_cell_length_c 4.536
_cell_angle_alpha 90.00
_cell_angle_beta 90.00
_cell_angle_gamma 90.00
loop_
_atom_site_label
_atom_site_type_symbol
_atom_site_fract_x
_atom_site_fract_y
_atom_site_fract_z
_atom_site_occupancy
Rb1 Rb 0.000 0.000 0.000 1
Ga1 Ga 0.500 0.500 0.500 1
O1 O 0.000 0.000 0.500 1
F1 F 0.000 0.500 0.000 1



# 11
# ScCu2Ir (PBE, relaxed)
# Fermi-level density of states in states/eV/atom: 1.16
# E in eV per atom: -5.6512
# V in A^3/atom: 14.9
data_ScCu2Ir
_space_group_name_H-M_alt 'R -3 m'
_space_group_IT_number 166
_space_group_name_Hall '-R 3 2"'
_cell_length_a 2.7796
_cell_length_b 2.7796
_cell_length_c 26.7652
_cell_angle_alpha 90.00
_cell_angle_beta 90.00
_cell_angle_gamma 120.00
loop_
_atom_site_label
_atom_site_type_symbol
_atom_site_fract_x
_atom_site_fract_y
_atom_site_fract_z
_atom_site_occupancy
Sc1 Sc 0.0000 0.0000 0.0000 1
Cu1 Cu 0.0000 0.0000 0.2468 1
Ir1 Ir 0.0000 0.0000 0.5000 1



# 12
# Mn2FeOs (PBE, relaxed)
# Fermi-level density of states in states/eV/atom: 1.09
# E in eV per atom: -9.3414
# V in A^3/atom: 12.1
data_Mn2FeOs
_space_group_name_H-M_alt 'R -3 m'
_space_group_IT_number 166
_space_group_name_Hall '-R 3 2"'
_cell_length_a 2.5962
_cell_length_b 2.5962
_cell_length_c 24.8902
_cell_angle_alpha 90.00
_cell_angle_beta 90.00
_cell_angle_gamma 120.00
loop_
_atom_site_label
_atom_site_type_symbol
_atom_site_fract_x
_atom_site_fract_y
_atom_site_fract_z
_atom_site_occupancy
Mn1 Mn 0.0000 0.0000 0.2471 1
Fe1 Fe 0.0000 0.0000 0.5000 1
Os1 Os 0.0000 0.0000 0.0000 1